Entry 1:
Ta2ZnSb: relaxed, PBE.

Properties
Spin magnetization ... 0.0 μB/f.u.
Energy above the most stable polymorph in this dataset ... 151 meV per atom
Symmetry ... I-4m2
ΔE_f (raw) ... 190 meV/atom

abc: 5.264 5.264 5.264
angles: 134.54 134.54 66.24
Fractional positions:
Sb (0.750, 0.250, 0.500)
Ta (0.000, 0.000, 0.000)
Ta (0.250, 0.750, 0.500)
Zn (0.500, 0.500, 0.000)



Entry 2:
TaZnSb2: relaxed, PBE.

Properties
Spin magnetization ... 0.0 μB/f.u.
Symmetry ... R-3m
ΔE_f (raw) ... 231 meV/atom

abc: 10.798 10.798 10.798
angles: 17.43 17.43 17.43
Fractional positions:
Sb (0.986, 0.986, 0.986)
Sb (0.514, 0.514, 0.514)
Ta (0.250, 0.250, 0.250)
Zn (0.750, 0.750, 0.750)